Record 1
A plane-wave DFT calculation with GGA-PBEsol was carried out for a geometry-optimized MgAl2Au structure.

Cell: 5.678 5.678 2.977 Å, 104.71 104.71 121.62°
Atoms (fractional coordinates):
Mg: 0.000 0.000 0.000
Al: 0.000 0.500 0.000
Al: 0.500 0.000 0.000
Au: 0.500 0.500 0.000

## Properties
As for the energy of formation: -0.148 eV per atom.

=====

Record 2
A plane-wave DFT calculation with GGA-PBEsol was carried out for a geometry-optimized Y4TcBr structure.

Cell: 6.075 6.075 6.075 Å, 60.00 60.00 60.00°
Atoms (fractional coordinates):
Y: 0.123 0.123 0.123
Y: 0.123 0.123 0.632
Y: 0.123 0.632 0.123
Y: 0.632 0.123 0.123
Tc: 0.750 0.750 0.750
Br: 0.500 0.500 0.500

## Properties
The calculation puts the formation energy (no corrections) at 5.0 eV per formula unit.

=====

Record 3
A plane-wave DFT calculation with GGA-PBEsol was carried out for a geometry-optimized PWO2F structure.

Cell: 3.741 3.741 4.960 Å, 90.00 90.00 90.00°
Atoms (fractional coordinates):
P: 0.000 0.000 0.000
W: 0.000 0.000 0.500
O: 0.000 0.500 0.500
O: 0.500 0.000 0.500
F: 0.500 0.500 0.000

## Properties
The calculation puts the formation energy (no corrections) at -5.7 eV per formula unit.

=====

Record 4
A plane-wave DFT calculation with GGA-PBEsol was carried out for a geometry-optimized KInW2 structure.

Cell: 2.795 3.952 8.317 Å, 90.00 95.26 90.00°
Atoms (fractional coordinates):
K: 0.000 0.000 0.000
In: 0.413 0.500 0.680
W: 0.457 0.500 0.319
W: 0.833 0.000 0.476

## Properties
As for the energy of formation: 0.763 eV per atom.